(1)
{"formula": "Tc4O11", "functional": "GGA-PBE", "state": "optimized geometry", "lattice_angstrom": [[2.3780, 6.3676, -7.8465], [3.9068, -2.3283, 2.8415], [-1.6633, -3.6935, -2.3991]], "species": ["O", "Tc", "O", "O", "Tc", "Tc", "O", "O", "Tc", "O", "O", "O", "O", "O", "O"], "frac_coords": [[0.2867, 0.0097, 0.2203], [0.5767, 0.8632, 0.0880], [0.0443, 0.3876, 0.7522], [0.9907, 0.5289, 0.2294], [0.4194, 0.1836, 0.9451], [0.0910, 0.7616, 0.9427], [0.7780, 0.9484, 0.2345], [0.2074, 0.9970, 0.7165], [0.8913, 0.1441, 0.9718], [0.5209, 0.4632, 0.7771], [0.5902, 0.2224, 0.2471], [0.9467, 0.8642, 0.8845], [0.6977, 0.0247, 0.7629], [0.4500, 0.5790, 0.2271], [0.4180, 0.8403, 0.7674]], "de_polymorph_mev_per_atom": 40.6, "spacegroup": "P1"}

---

(2)
{"formula": "Tc4O11", "functional": "GGA-PBE", "state": "optimized geometry", "lattice_angstrom": [[-2.0244, 10.0904, -1.6934], [2.2093, -1.3663, 4.4830], [3.4803, -0.6205, -3.1792]], "species": ["O", "O", "O", "Tc", "O", "O", "O", "O", "Tc", "O", "O", "O", "Tc", "O", "Tc"], "frac_coords": [[0.2069, 0.9874, 0.7332], [0.9840, 0.5981, 0.2189], [0.2943, 0.9553, 0.2133], [0.4081, 0.0779, 0.9639], [0.7934, 0.9972, 0.2350], [0.7095, 0.0475, 0.7612], [0.5036, 0.4830, 0.9649], [0.0967, 0.1832, 0.2322], [0.0784, 0.8189, 0.9535], [0.5970, 0.1974, 0.2970], [0.0176, 0.4016, 0.7600], [0.9093, 0.8230, 0.7517], [0.5910, 0.8984, 0.9930], [0.3991, 0.7709, 0.6619], [0.9262, 0.1822, 0.0315]], "de_polymorph_mev_per_atom": 40.0, "spacegroup": "P1"}

---

(3)
{"formula": "TcO", "functional": "GGA-PBE", "state": "optimized geometry", "lattice_angstrom": [[0.0000, 2.3186, 2.3186], [2.3186, 0.0000, 2.3186], [2.3186, 2.3186, 0.0000]], "species": ["Tc", "O"], "frac_coords": [[0.2500, 0.2500, 0.2500], [0.0000, 0.0000, 0.0000]], "de_polymorph_mev_per_atom": 0.0, "spacegroup": "F-43m"}

---

(4)
{"formula": "TcO", "functional": "GGA-PBE", "state": "optimized geometry", "lattice_angstrom": [[2.7007, 0.0000, 0.0000], [-1.3504, 2.3389, 0.0000], [0.0000, 0.0000, 3.3061]], "species": ["O", "Tc"], "frac_coords": [[0.6667, 0.3333, 0.7500], [0.3333, 0.6667, 0.2500]], "de_polymorph_mev_per_atom": 66.5, "spacegroup": "P-6m2"}

---

(5)
{"formula": "TcO", "functional": "GGA-PBE", "state": "optimized geometry", "lattice_angstrom": [[0.0000, 2.2418, 2.2418], [2.2418, 0.0000, 2.2418], [2.2418, 2.2418, 0.0000]], "species": ["O", "Tc"], "frac_coords": [[0.0000, 0.0000, 0.0000], [0.5000, 0.5000, 0.5000]], "de_polymorph_mev_per_atom": 424.4, "spacegroup": "Fm-3m"}

---

(6)
{"formula": "Tc2O", "functional": "GGA-PBE", "state": "optimized geometry", "lattice_angstrom": [[3.1205, 1.8016, 5.0958], [-3.1205, 1.8016, 5.0958], [0.0000, -3.6033, 5.0958]], "species": ["Tc", "O", "Tc", "O", "Tc", "Tc"], "frac_coords": [[0.3750, 0.8750, 0.3750], [0.2500, 0.2500, 0.2500], [0.3750, 0.3750, 0.3750], [0.5000, 0.5000, 0.5000], [0.3750, 0.3750, 0.8750], [0.8750, 0.3750, 0.3750]], "spacegroup": "Fd-3m"}

---

Looking at total energy for the records above, in order, we have -112.95, -112.96, -15.82, -15.69, -14.97, -21.59 eV/f.u..